# LiHgBiSb (PBE-GGA, optimized geometry)
# E above lowest polymorph   0 meV per atom
# Uncorrected formation energy   -146 meV per atom
# ρ   8.420 g/cm3
# Density of states at the Fermi level   0.4837 states/eV/atom
# V   106.1 Å³/f.u.
data_LiHgBiSb
_space_group_name_H-M_alt 'P 4 m m'
_space_group_IT_number 99
_cell_length_a 3.231
_cell_length_b 3.231
_cell_length_c 10.168
_cell_angle_alpha 90.00
_cell_angle_beta 90.00
_cell_angle_gamma 90.00
loop_
_space_group_symop_operation_xyz
'x,y,z'
'-y,x,z'
'-x,-y,z'
'y,-x,z'
'-x,y,z'
'y,x,z'
'x,-y,z'
'-y,-x,z'
loop_
_atom_site_label
_atom_site_type_symbol
_atom_site_fract_x
_atom_site_fract_y
_atom_site_fract_z
Li1 Li 0.000 0.000 0.000
Hg1 Hg 0.500 0.500 0.183
Bi1 Bi 0.500 0.500 0.496
Sb1 Sb 0.500 0.500 0.805

***

# Li2HgBiSe4 (PBE-GGA, optimized geometry)
# Uncorrected formation energy   -540 meV per atom
# ρ   6.551 g/cm3
# Density of states at the Fermi level   0.6104 states/eV/atom
# V   187.4 Å³/f.u.
data_Li2HgBiSe4
_space_group_name_H-M_alt 'P 1 2/m 1'
_space_group_IT_number 10
_cell_length_a 7.047
_cell_length_b 3.993
_cell_length_c 7.162
_cell_angle_alpha 90.00
_cell_angle_beta 111.57
_cell_angle_gamma 90.00
loop_
_space_group_symop_operation_xyz
'x,y,z'
'-x,-y,-z'
'-x,y,-z'
'x,-y,z'
loop_
_atom_site_label
_atom_site_type_symbol
_atom_site_fract_x
_atom_site_fract_y
_atom_site_fract_z
Li1 Li 0.000 0.000 0.000
Li2 Li 0.000 0.500 0.500
Hg1 Hg 0.500 0.000 0.500
Bi1 Bi 0.500 0.500 0.000
Se1 Se 0.208 0.000 0.762
Se2 Se 0.261 0.500 0.267

***

# Li2SnHg2Bi (PBE-GGA, optimized geometry)
# Total DFT energy (no corrections)   -2.28 eV/atom
# ρ   8.826 g/cm3
# Density of states at the Fermi level   0.3999 states/eV/atom
# V   139.7 Å³/f.u.
data_Li2SnHg2Bi
_space_group_name_H-M_alt 'P -3 m 1'
_space_group_IT_number 164
_space_group_name_Hall '-P 3 2"'
_cell_length_a 4.8367
_cell_length_b 4.8367
_cell_length_c 6.8979
_cell_angle_alpha 90.00
_cell_angle_beta 90.00
_cell_angle_gamma 120.00
loop_
_atom_site_label
_atom_site_type_symbol
_atom_site_fract_x
_atom_site_fract_y
_atom_site_fract_z
Li1 Li 0.3333 0.6667 0.1966
Sn1 Sn 0.0000 0.0000 0.5000
Hg1 Hg 0.3333 0.6667 0.7128
Bi1 Bi 0.0000 0.0000 0.0000

***

# Li2Sn2Hg2Bi (PBE-GGA, optimized geometry)
# Total DFT energy (no corrections)   -2.52 eV/atom
# ρ   8.459 g/cm3
# Density of states at the Fermi level   0.3614 states/eV/atom
# V   169.1 Å³/f.u.
data_Li2Sn2Hg2Bi
_space_group_name_H-M_alt 'R -3 m'
_space_group_IT_number 166
_space_group_name_Hall '-R 3 2"'
_cell_length_a 4.9942
_cell_length_b 4.9942
_cell_length_c 23.4875
_cell_angle_alpha 90.00
_cell_angle_beta 90.00
_cell_angle_gamma 120.00
loop_
_atom_site_label
_atom_site_type_symbol
_atom_site_fract_x
_atom_site_fract_y
_atom_site_fract_z
Li1 Li 0.0000 0.0000 0.2168
Sn1 Sn 0.0000 0.0000 0.3580
Hg1 Hg 0.0000 0.0000 0.0857
Bi1 Bi 0.0000 0.0000 0.5000

***

# Li5Sn2Hg2Bi (PBE-GGA, optimized geometry)
# Total DFT energy (no corrections)   -2.47 eV/atom
# ρ   6.836 g/cm3
# Density of states at the Fermi level   0.3291 states/eV/atom
# V   214.3 Å³/f.u.
data_Li5Sn2Hg2Bi
_space_group_name_H-M_alt 'P 4/m b m'
_space_group_IT_number 127
_space_group_name_Hall '-P 4 2ab'
_cell_length_a 11.230
_cell_length_b 11.230
_cell_length_c 3.398
_cell_angle_alpha 90.00
_cell_angle_beta 90.00
_cell_angle_gamma 90.00
loop_
_atom_site_label
_atom_site_type_symbol
_atom_site_fract_x
_atom_site_fract_y
_atom_site_fract_z
Li1 Li 0.000 0.500 0.000
Li2 Li 0.023 0.205 0.000
Sn1 Sn 0.168 0.668 0.500
Hg1 Hg 0.139 0.361 0.500
Bi1 Bi 0.000 0.000 0.500

***

# Li5SnHg2Bi2 (PBE-GGA, optimized geometry)
# Total DFT energy (no corrections)   -2.48 eV/atom
# ρ   7.248 g/cm3
# Density of states at the Fermi level   0.1990 states/eV/atom
# V   222.8 Å³/f.u.
data_Li5SnHg2Bi2
_space_group_name_H-M_alt 'P 4/m b m'
_space_group_IT_number 127
_space_group_name_Hall '-P 4 2ab'
_cell_length_a 11.595
_cell_length_b 11.595
_cell_length_c 3.314
_cell_angle_alpha 90.00
_cell_angle_beta 90.00
_cell_angle_gamma 90.00
loop_
_atom_site_label
_atom_site_type_symbol
_atom_site_fract_x
_atom_site_fract_y
_atom_site_fract_z
Li1 Li 0.000 0.500 0.000
Li2 Li 0.012 0.207 0.000
Sn1 Sn 0.000 0.000 0.500
Hg1 Hg 0.137 0.363 0.500
Bi1 Bi 0.170 0.670 0.500

***

# Li2SnHgBi (PBE-GGA, optimized geometry)
# Total DFT energy (no corrections)   -2.63 eV/atom
# ρ   7.620 g/cm3
# Density of states at the Fermi level   0.2848 states/eV/atom
# V   118.1 Å³/f.u.
data_Li2SnHgBi
_space_group_name_H-M_alt 'P 1 21/m 1'
_space_group_IT_number 11
_cell_length_a 6.786
_cell_length_b 4.649
_cell_length_c 7.752
_cell_angle_alpha 90.00
_cell_angle_beta 104.97
_cell_angle_gamma 90.00
loop_
_space_group_symop_operation_xyz
'x,y,z'
'-x,-y,-z'
'-x,y+1/2,-z'
'x,-y+1/2,z'
loop_
_atom_site_label
_atom_site_type_symbol
_atom_site_fract_x
_atom_site_fract_y
_atom_site_fract_z
Li1 Li 0.025 0.250 0.125
Li2 Li 0.354 0.250 0.459
Sn1 Sn 0.274 0.250 0.849
Hg1 Hg 0.154 0.750 0.581
Bi1 Bi 0.297 0.750 0.212

***

# Sr2Li4HgBi3 (PBE-GGA, optimized geometry)
# Total DFT energy (no corrections)   -2.90 eV/atom
# ρ   6.416 g/cm3
# Density of states at the Fermi level   0.3249 states/eV/atom
# V   266.7 Å³/f.u.
data_Sr2Li4HgBi3
_space_group_name_H-M_alt 'P -4 m 2'
_space_group_IT_number 115
_cell_length_a 4.713
_cell_length_b 4.713
_cell_length_c 12.007
_cell_angle_alpha 90.00
_cell_angle_beta 90.00
_cell_angle_gamma 90.00
loop_
_space_group_symop_operation_xyz
'x,y,z'
'y,-x,-z'
'-x,-y,z'
'-y,x,-z'
'-x,y,z'
'-y,-x,-z'
'x,-y,z'
'y,x,-z'
loop_
_atom_site_label
_atom_site_type_symbol
_atom_site_fract_x
_atom_site_fract_y
_atom_site_fract_z
Sr1 Sr 0.000 0.500 0.238
Li1 Li 0.000 0.000 0.000
Li2 Li 0.000 0.500 0.632
Li3 Li 0.500 0.500 0.000
Hg1 Hg 0.000 0.000 0.500
Bi1 Bi 0.000 0.500 0.859
Bi2 Bi 0.500 0.500 0.500

***

# SrLiHgBi (PBE-GGA, optimized geometry)
# Total DFT energy (no corrections)   -2.54 eV/atom
# ρ   7.194 g/cm3
# Density of states at the Fermi level   0.0341 states/eV/atom
# V   116.4 Å³/f.u.
data_SrLiHgBi
_space_group_name_H-M_alt 'F -4 3 m'
_space_group_IT_number 216
_space_group_name_Hall 'F -4 2 3'
_cell_length_a 7.750
_cell_length_b 7.750
_cell_length_c 7.750
_cell_angle_alpha 90.00
_cell_angle_beta 90.00
_cell_angle_gamma 90.00
loop_
_atom_site_label
_atom_site_type_symbol
_atom_site_fract_x
_atom_site_fract_y
_atom_site_fract_z
Sr1 Sr 0.000 0.000 0.000
Li1 Li 0.000 0.000 0.500
Hg1 Hg 0.250 0.250 0.250
Bi1 Bi 0.250 0.250 0.750

***

# Sr2LiHg3Bi4 (PBE-GGA, optimized geometry)
# Total DFT energy (no corrections)   -2.53 eV/atom
# ρ   8.396 g/cm3
# Density of states at the Fermi level   0.4555 states/eV/atom
# V   320.4 Å³/f.u.
data_Sr2LiHg3Bi4
_space_group_name_H-M_alt 'P -4 m 2'
_space_group_IT_number 115
_cell_length_a 4.665
_cell_length_b 4.665
_cell_length_c 14.725
_cell_angle_alpha 90.00
_cell_angle_beta 90.00
_cell_angle_gamma 90.00
loop_
_space_group_symop_operation_xyz
'x,y,z'
'y,-x,-z'
'-x,-y,z'
'-y,x,-z'
'-x,y,z'
'-y,-x,-z'
'x,-y,z'
'y,x,-z'
loop_
_atom_site_label
_atom_site_type_symbol
_atom_site_fract_x
_atom_site_fract_y
_atom_site_fract_z
Sr1 Sr 0.000 0.500 0.228
Li1 Li 0.500 0.500 0.000
Hg1 Hg 0.000 0.000 0.000
Hg2 Hg 0.000 0.500 0.656
Bi1 Bi 0.000 0.000 0.500
Bi2 Bi 0.000 0.500 0.864
Bi3 Bi 0.500 0.500 0.500

***

# SrLiHgBi2 (PBE-GGA, optimized geometry)
# Total DFT energy (no corrections)   -2.69 eV/atom
# ρ   7.979 g/cm3
# Density of states at the Fermi level   0.1824 states/eV/atom
# V   148.4 Å³/f.u.
data_SrLiHgBi2
_space_group_name_H-M_alt 'P 4/m m m'
_space_group_IT_number 123
_space_group_name_Hall '-P 4 2'
_cell_length_a 5.279
_cell_length_b 5.279
_cell_length_c 5.324
_cell_angle_alpha 90.00
_cell_angle_beta 90.00
_cell_angle_gamma 90.00
loop_
_atom_site_label
_atom_site_type_symbol
_atom_site_fract_x
_atom_site_fract_y
_atom_site_fract_z
Sr1 Sr 0.000 0.000 0.000
Li1 Li 0.500 0.500 0.500
Hg1 Hg 0.500 0.500 0.000
Bi1 Bi 0.000 0.500 0.500

***

# SrLi2Hg4Bi (PBE-GGA, optimized geometry)
# Total DFT energy (no corrections)   -1.58 eV/atom
# ρ   8.602 g/cm3
# Density of states at the Fermi level   0.2945 states/eV/atom
# V   214.8 Å³/f.u.
data_SrLi2Hg4Bi
_space_group_name_H-M_alt 'P 4/m m m'
_space_group_IT_number 123
_space_group_name_Hall '-P 4 2'
_cell_length_a 4.458
_cell_length_b 4.458
_cell_length_c 10.811
_cell_angle_alpha 90.00
_cell_angle_beta 90.00
_cell_angle_gamma 90.00
loop_
_atom_site_label
_atom_site_type_symbol
_atom_site_fract_x
_atom_site_fract_y
_atom_site_fract_z
Sr1 Sr 0.000 0.000 0.000
Li1 Li 0.500 0.500 0.384
Hg1 Hg 0.000 0.500 0.230
Bi1 Bi 0.000 0.000 0.500